Entry w
# Tm4CoPb2 PBE-GGA relaxed
data_Tm4CoPb2
_chemical_formula_sum 'Tm4 Co1 Pb2'
_space_group_name_H-M_alt 'P 1'
_space_group_IT_number 1
_space_group_name_Hall 'P 1'
_cell_length_a 8.833
_cell_length_b 8.833
_cell_length_c 8.833
_cell_angle_alpha 147.91
_cell_angle_beta 147.91
_cell_angle_gamma 46.01
loop_
_atom_site_label
_atom_site_type_symbol
_atom_site_fract_x
_atom_site_fract_y
_atom_site_fract_z
_atom_site_occupancy
Tm1 Tm 0.000 0.500 0.500 1
Tm2 Tm 0.170 0.170 0.000 1
Tm3 Tm 0.500 0.000 0.500 1
Tm4 Tm 0.830 0.830 0.000 1
Co1 Co 0.000 0.000 0.000 1
Pb1 Pb 0.359 0.359 0.000 1
Pb2 Pb 0.641 0.641 0.000 1
# space group = No. 139
# size of the total moment = 0.000 μB per atom
# calculated density = 9.85 g/cm3

---

Entry x
# Tm4CoPb2 PBE-GGA relaxed
data_Tm4CoPb2
_chemical_formula_sum 'Tm8 Co2 Pb4'
_space_group_name_H-M_alt 'P 1'
_space_group_IT_number 1
_space_group_name_Hall 'P 1'
_cell_length_a 6.221
_cell_length_b 6.601
_cell_length_c 9.307
_cell_angle_alpha 90.00
_cell_angle_beta 103.08
_cell_angle_gamma 90.00
loop_
_atom_site_label
_atom_site_type_symbol
_atom_site_fract_x
_atom_site_fract_y
_atom_site_fract_z
_atom_site_occupancy
Tm1 Tm 0.187 0.250 0.095 1
Tm2 Tm 0.217 0.003 0.743 1
Tm3 Tm 0.217 0.497 0.743 1
Tm4 Tm 0.299 0.750 0.401 1
Tm5 Tm 0.701 0.250 0.599 1
Tm6 Tm 0.783 0.503 0.257 1
Tm7 Tm 0.783 0.997 0.257 1
Tm8 Tm 0.813 0.750 0.905 1
Co1 Co 0.047 0.750 0.160 1
Co2 Co 0.953 0.250 0.840 1
Pb1 Pb 0.193 0.250 0.441 1
Pb2 Pb 0.382 0.750 0.042 1
Pb3 Pb 0.618 0.250 0.958 1
Pb4 Pb 0.807 0.750 0.559 1
# space group = No. 11
# size of the total moment = 0.000 μB per atom
# calculated density = 10.25 g/cm3

---

Ranking the structures above by energy, entry w is first and the second is 0.8 kJ/mol of atoms behind.